Below is an optimized crystal structure of RbSi3Sb, with properties calculated at the PBE-GGA level.

The magnetic moment comes out at 0.0 μB/cell. The uncorrected energy is -3.298 eV per atom. The calculation puts the density at 3.07 g/cm³.

The space group is Pm-3m (No. 221) and the conventional cell measures 5.404, 5.404 and 5.404 Å, with angles of 90.00, 90.00 and 90.00 degrees. The distinct sites, in fractional coordinates, are Rb at (0.000, 0.000, 0.000), Si at (0.000, 0.500, 0.500) and Sb at (0.500, 0.500, 0.500).

Below is an optimized crystal structure of RbSi2Sb, with properties calculated at the PBE-GGA level.

The magnetic moment comes out at 0.0 μB/cell. The uncorrected energy is -3.530 eV per atom. The calculation puts the density at 3.63 g/cm³.

The space group is I-42d (No. 122) and the conventional cell measures 8.224, 8.224 and 7.125 Å, with angles of 90.00, 90.00 and 90.00 degrees. The distinct sites, in fractional coordinates, are Rb at (0.000, 0.000, 0.000), Si at (0.185, 0.750, 0.625) and Sb at (0.000, 0.000, 0.500).